Nd4Zn3Hg: optimized geometry, PBE.

```
Nd4Zn3Hg
1.0
3.698 0.000 0.000
0.000 4.673 0.000
0.000 0.000 12.134
Nd Zn Hg
4 3 1
direct
0.500 0.500 0.354
0.000 0.500 0.843
0.000 0.000 0.157
0.500 0.000 0.651
0.000 0.500 0.566
0.000 0.000 0.436
0.500 0.000 0.927
0.500 0.500 0.067
```

## Properties
Its volume is 26.210 Å³ per atom. The calculation puts the spin magnetization at 0.000 Bohr magnetons per cell. The total energy comes out at -25.60 eV/f.u. The density of states at the Fermi level comes out at 8.58 states/eV per cell. Its space group is Pmm2, No. 25. Its distance to the lowest polymorph of the same formula is 42 meV/atom. The formation enthalpy at 0 K is -29 kJ/mol of atoms.